No. 1
Entry from the Alexandria database: crystalline CrTc2Os at its relaxed geometry (PBE).

```
CrTc2Os
1.0
5.051 -0.004 0.001
2.319 4.488 -0.001
-3.198 -3.043 2.456
Cr Tc Os
1 2 1
Cartesian
2.769 -0.402 1.228
3.858 2.347 0.000
7.198 4.379 0.000
1.403 1.844 1.227
```

ρ: 13.07 Mg/m³
E_tot: -10.20 eV/atom
Magnetization: 0.0001 μB per atom

No. 2
Entry from the Alexandria database: crystalline Cr2TcOs at its relaxed geometry (PBE).

```
Cr2TcOs
1.0
2.875 0.000 0.000
0.000 2.875 0.000
0.000 0.000 6.329
Cr Os Tc
2 1 1
Cartesian
0.000 0.000 0.185
1.437 1.437 1.408
0.000 0.000 3.039
1.437 1.437 4.862
```

ρ: 12.45 Mg/m³
E_tot: -10.12 eV/atom
Magnetization: 0.0000 μB per atom

No. 3
Entry from the Alexandria database: crystalline Cr2TcOs at its relaxed geometry (PBE).

```
Cr2TcOs
1.0
-4.067 2.182 -0.064
-3.598 1.339 -2.563
-2.775 -3.548 0.676
Tc Cr Os
1 2 1
Cartesian
-2.583 0.017 -0.491
-7.829 -0.004 -1.469
-2.791 -3.536 0.669
-5.231 -0.066 -0.960
```

ρ: 12.27 Mg/m³
E_tot: -10.06 eV/atom
Magnetization: 0.0001 μB per atom

No. 4
Entry from the Alexandria database: crystalline CrTc2Os at its relaxed geometry (PBE).

```
CrTc2Os
1.0
2.714 0.000 0.000
0.000 2.714 0.000
0.000 0.000 7.553
Cr Os Tc
1 1 2
Cartesian
1.357 1.357 1.888
1.357 1.357 5.665
0.000 0.000 3.704
0.000 0.000 0.073
```

ρ: 13.08 Mg/m³
E_tot: -10.26 eV/atom
Magnetization: 0.0001 μB per atom

No. 5
Entry from the Alexandria database: crystalline CrTc2Os at its relaxed geometry (PBE).

```
CrTc2Os
1.0
-2.855 -1.803 -1.810
2.452 -1.217 -2.655
0.675 -3.137 2.060
Os Tc Cr
1 2 1
Cartesian
-1.090 -2.470 0.125
0.000 0.000 0.000
1.563 -2.177 -0.297
-0.201 -1.510 -2.233
```

ρ: 13.06 Mg/m³
E_tot: -10.29 eV/atom
Magnetization: 0.0000 μB per atom

No. 6
Entry from the Alexandria database: crystalline CrTc2Os at its relaxed geometry (PBE).

```
CrTc2Os
1.0
0.296 2.727 3.312
-1.698 3.939 -0.300
-3.507 1.009 2.274
Cr Os Tc
1 1 2
Cartesian
0.000 0.000 0.000
-2.454 3.837 2.643
-1.227 1.919 1.321
-3.682 5.756 3.964
```

ρ: 12.94 Mg/m³
E_tot: -10.09 eV/atom
Magnetization: 0.0000 μB per atom